A plane-wave DFT calculation with PBE-GGA was carried out for a relaxed structure of CeMn4S8.

```
CeMn4S8
1.0
6.255 0.000 2.853
2.477 5.744 2.853
0.349 0.230 7.519
S Mn Ce
8 4 1
Direct
0.733 0.236 0.796 S
0.764 0.764 0.204 S
0.764 0.267 0.204 S
0.267 0.267 0.198 S
0.733 0.733 0.802 S
0.236 0.236 0.796 S
0.267 0.764 0.204 S
0.236 0.733 0.796 S
0.000 0.000 0.000 Mn
0.500 0.500 0.000 Mn
0.000 0.500 0.000 Mn
0.500 0.000 0.000 Mn
0.500 0.500 0.500 Ce
```

Output
Crystal system: trigonal
Formation energy without anion corrections, eV per atom: -0.810
Calculated volume, Å³ per atom: 20.15
Theoretical density, Mg/m³: 3.91
Calculated total energy, eV per cell: -86.2


A plane-wave DFT calculation with PBE-GGA was carried out for a relaxed structure of NaPrBi2.

```
NaPrBi2
1.0
5.614 0.000 0.000
2.807 4.862 0.000
2.807 1.621 4.584
Bi Na Pr
2 1 1
Direct
0.750 0.750 0.750 Bi
0.250 0.250 0.250 Bi
0.500 0.500 0.500 Na
0.000 0.000 0.000 Pr
```

Output
Crystal system: cubic
Calculated formation energy, eV/atom: -0.46
Energy above the lowest structure with this stoichiometry, eV per atom: 0.124
Calculated volume, Å³ per atom: 31.28
Theoretical density, Mg/m³: 7.72
Calculated total energy, eV per cell: -15.7


> Which of these has the lowest theoretical density?

CeMn4S8


> Which value of theoretical density does entry 2 give?

7.72 Mg/m³


> theoretical density of number 1 (CeMn4S8)?

3.91 Mg/m³


Repeat the second record exactly.
A plane-wave DFT calculation with PBE-GGA was carried out for a relaxed structure of NaPrBi2.

```
NaPrBi2
1.0
5.614 0.000 0.000
2.807 4.862 0.000
2.807 1.621 4.584
Bi Na Pr
2 1 1
Direct
0.750 0.750 0.750 Bi
0.250 0.250 0.250 Bi
0.500 0.500 0.500 Na
0.000 0.000 0.000 Pr
```

Output
Crystal system: cubic
Calculated formation energy, eV/atom: -0.46
Energy above the lowest structure with this stoichiometry, eV per atom: 0.124
Calculated volume, Å³ per atom: 31.28
Theoretical density, Mg/m³: 7.72
Calculated total energy, eV per cell: -15.7